## TmZr (GGA-PBE)

Data for crystalline TmZr at its relaxed geometry.

Output
Its magnetic moment is 0.01 μB per formula unit. As for the total energy: -51.7 eV for the cell shown. The formation energy comes out at 0.0440 eV/atom. The energy above the most stable polymorph in this dataset comes out at 2.3 kJ/mol of atoms.

Cell lengths 6.8068, 6.8068, 5.2594 Å; angles 90.00, 90.00, 120.00 degrees
Closest atoms and distances in Å follow each position.
Space group P-6m2 (No. 187)
Inequivalent atoms, fractional coordinates:
Tm 0.0000 0.0000 0.0000 [1 per cell]  6 Tm 3.31, 6 Zr 3.41
Tm 0.3403 0.1702 0.5000 [3 per cell]  6 Tm 3.31-3.47, 6 Zr 3.32-3.40
Zr 0.0240 0.5120 0.0000 [3 per cell]  4 Zr 3.16-3.20, 6 Tm 3.32-3.41
Zr 0.3333 0.6667 0.5000 [1 per cell]  6 Zr 3.20, 6 Tm 3.40